Entry 1:
The following is a DFT calculation (meta-GGA SCAN) of NbFe2 at its PBEsol-relaxed geometry.

abc: 4.7316 4.7316 4.7316
angles: 60.00 60.00 60.00
Sites, in units of the cell vectors:
Nb: 0.1250 0.1250 0.1250
Nb: 0.8750 0.8750 0.8750
Fe: 0.0000 0.5000 0.5000
Fe: 0.5000 0.0000 0.5000
Fe: 0.5000 0.5000 0.0000
Fe: 0.5000 0.5000 0.5000

## Properties
- symmetry = No. 227
- Fermi-level density of states (states/eV/f.u.) = 2.16
- E_form (eV/atom) = -0.05



Entry 2:
The following is a DFT calculation (meta-GGA SCAN) of Al3Ir at its PBEsol-relaxed geometry.

abc: 4.2674 4.2674 7.7304
angles: 90.00 90.00 120.00
Sites, in units of the cell vectors:
Al: 0.0000 0.0000 0.2500
Al: 0.0000 0.0000 0.7500
Al: 0.3333 0.6667 0.0792
Al: 0.3333 0.6667 0.4208
Al: 0.6667 0.3333 0.5792
Al: 0.6667 0.3333 0.9208
Ir: 0.3333 0.6667 0.7500
Ir: 0.6667 0.3333 0.2500

## Properties
- symmetry = No. 194
- Fermi-level density of states (states/eV/f.u.) = 0.85
- E_form (eV/atom) = -0.83



Entry 3:
The following is a DFT calculation (meta-GGA SCAN) of GaAs2WBr at its PBEsol-relaxed geometry.

abc: 4.7900 4.7900 5.4333
angles: 90.00 90.00 90.00
Sites, in units of the cell vectors:
Ga: 0.0000 0.0000 0.0000
As: 0.0000 0.5000 0.5000
As: 0.5000 0.0000 0.5000
W: 0.5000 0.5000 0.5000
Br: 0.5000 0.5000 0.0000

## Properties
- symmetry = No. 123
- Fermi-level density of states (states/eV/f.u.) = 2.70
- energy relative to the elements, uncorrected (meV/atom) = 454



Entry 4:
The following is a DFT calculation (meta-GGA SCAN) of LaP5O14 at its PBEsol-relaxed geometry.

abc: 8.8458 9.1349 13.1576
angles: 90.00 90.54 90.00
Sites, in units of the cell vectors:
La: 0.2217 0.1895 0.0013
La: 0.2217 0.3105 0.5013
La: 0.7783 0.6895 0.4987
La: 0.7783 0.8105 0.9987
P: 0.0089 0.5060 0.7056
P: 0.0089 0.9940 0.2056
P: 0.1861 0.7462 0.4998
P: 0.1861 0.7538 0.9998
P: 0.2540 0.5481 0.1638
P: 0.2540 0.9519 0.6638
P: 0.2737 0.5516 0.8377
P: 0.2737 0.9484 0.3377
P: 0.4929 0.0025 0.8235
P: 0.4929 0.4975 0.3235
P: 0.5071 0.5025 0.6765
P: 0.5071 0.9975 0.1765
P: 0.7263 0.0516 0.6623
P: 0.7263 0.4484 0.1623
P: 0.7460 0.0481 0.3362
P: 0.7460 0.4519 0.8362
P: 0.8139 0.2462 0.0002
P: 0.8139 0.2538 0.5002
P: 0.9911 0.0060 0.7944
P: 0.9911 0.4940 0.2944
O: 0.0332 0.6863 0.9936
O: 0.0332 0.8137 0.4936
O: 0.0839 0.1173 0.8485
O: 0.0839 0.3827 0.3485
O: 0.0887 0.1145 0.1529
O: 0.0887 0.3855 0.6529
O: 0.0908 0.5712 0.2068
O: 0.0908 0.9288 0.7068
O: 0.1286 0.5978 0.7748
O: 0.1286 0.9022 0.2748
O: 0.2117 0.5858 0.4988
O: 0.2117 0.9142 0.9988
O: 0.2693 0.0945 0.3847
O: 0.2693 0.4055 0.8847
O: 0.2769 0.6916 0.0996
O: 0.2769 0.8084 0.5996
O: 0.2802 0.0904 0.6093
O: 0.2802 0.4096 0.1093
O: 0.2948 0.6846 0.9122
O: 0.2948 0.8154 0.4122
O: 0.3649 0.5804 0.2550
O: 0.3649 0.9196 0.7550
O: 0.4104 0.5819 0.7651
O: 0.4104 0.9181 0.2651
O: 0.4175 0.1143 0.1258
O: 0.4175 0.3857 0.6258
O: 0.4219 0.1219 0.8830
O: 0.4219 0.3781 0.3830
O: 0.5781 0.6219 0.6170
O: 0.5781 0.8781 0.1170
O: 0.5825 0.6143 0.3742
O: 0.5825 0.8857 0.8742
O: 0.5896 0.0819 0.7349
O: 0.5896 0.4181 0.2349
O: 0.6351 0.0804 0.2450
O: 0.6351 0.4196 0.7450
O: 0.7052 0.1846 0.5878
O: 0.7052 0.3154 0.0878
O: 0.7198 0.5904 0.8907
O: 0.7198 0.9096 0.3907
O: 0.7231 0.1916 0.4004
O: 0.7231 0.3084 0.9004
O: 0.7307 0.5945 0.1153
O: 0.7307 0.9055 0.6153
O: 0.7883 0.0858 0.0012
O: 0.7883 0.4142 0.5012
O: 0.8714 0.0978 0.7252
O: 0.8714 0.4022 0.2252
O: 0.9092 0.0712 0.2932
O: 0.9092 0.4288 0.7932
O: 0.9113 0.6145 0.3471
O: 0.9113 0.8855 0.8471
O: 0.9161 0.6173 0.6515
O: 0.9161 0.8827 0.1515
O: 0.9668 0.1863 0.5064
O: 0.9668 0.3137 0.0064

## Properties
- symmetry = No. 14
- Fermi-level density of states (states/eV/f.u.) = 0.00
- energy relative to the elements, uncorrected (meV/atom) = -2621



Entry 5:
The following is a DFT calculation (meta-GGA SCAN) of TaCd2Te at its PBEsol-relaxed geometry.

abc: 5.3467 5.3467 5.3467
angles: 132.33 132.33 69.71
Sites, in units of the cell vectors:
Ta: 0.0000 0.0000 0.0000
Cd: 0.2500 0.7500 0.5000
Cd: 0.5000 0.5000 0.0000
Te: 0.7500 0.2500 0.5000

## Properties
- symmetry = No. 119
- Fermi-level density of states (states/eV/f.u.) = 2.07
- energy relative to the elements, uncorrected (meV/atom) = 438



Entry 6:
The following is a DFT calculation (meta-GGA SCAN) of CoBiO3 at its PBEsol-relaxed geometry.

abc: 5.4482 7.4880 5.2800
angles: 90.00 90.00 90.00
Sites, in units of the cell vectors:
Co: 0.0000 0.0000 0.0000
Co: 0.0000 0.5000 0.0000
Co: 0.5000 0.0000 0.5000
Co: 0.5000 0.5000 0.5000
Bi: 0.0556 0.2500 0.4892
Bi: 0.4444 0.7500 0.9892
Bi: 0.5556 0.2500 0.0108
Bi: 0.9444 0.7500 0.5108
O: 0.0247 0.7500 0.0816
O: 0.2079 0.5406 0.7048
O: 0.2079 0.9594 0.7048
O: 0.2921 0.0406 0.2048
O: 0.2921 0.4594 0.2048
O: 0.4753 0.2500 0.5816
O: 0.5247 0.7500 0.4184
O: 0.7079 0.5406 0.7952
O: 0.7079 0.9594 0.7952
O: 0.7921 0.0406 0.2952
O: 0.7921 0.4594 0.2952
O: 0.9753 0.2500 0.9184

## Properties
- symmetry = No. 62
- energy relative to the elements, uncorrected (meV/atom) = -1224



Entry 7:
The following is a DFT calculation (meta-GGA SCAN) of LiAlCr at its PBEsol-relaxed geometry.

abc: 4.2677 4.2677 2.5713
angles: 90.00 90.00 120.00
Sites, in units of the cell vectors:
Li: 0.0000 0.0000 0.0000
Al: 0.6667 0.3333 0.7420
Cr: 0.3333 0.6667 0.3060

## Properties
- symmetry = No. 156
- Fermi-level density of states (states/eV/f.u.) = 1.60
- E_form (eV/atom) = 0.04



Entry 8:
The following is a DFT calculation (meta-GGA SCAN) of LaZnGaO2 at its PBEsol-relaxed geometry.

abc: 4.1226 4.1226 4.5011
angles: 90.00 90.00 90.00
Sites, in units of the cell vectors:
La: 0.0000 0.0000 0.0000
Zn: 0.5000 0.5000 0.0000
Ga: 0.5000 0.5000 0.5000
O: 0.0000 0.5000 0.5000
O: 0.5000 0.0000 0.5000

## Properties
- symmetry = No. 123
- Fermi-level density of states (states/eV/f.u.) = 2.12
- energy relative to the elements, uncorrected (meV/atom) = -1074



Per-record raw total energy, eV per atom: -23.1840 -24.4165 -28.7206 -11.7379 -40.7280 -24.1397 -9.4646 -18.1594